No. 1
# CuAg2Pb PBE-GGA optimized geometry
data_CuAg2Pb
_chemical_formula_sum 'Cu1 Ag2 Pb1'
_symmetry_space_group_name_H-M 'P 1'
_symmetry_Int_Tables_number 1
_cell_length_a 4.7843
_cell_length_b 4.7843
_cell_length_c 4.7843
_cell_angle_alpha 60.00
_cell_angle_beta 60.00
_cell_angle_gamma 60.00
loop_
_symmetry_equiv_pos_as_xyz
'x,y,z'
loop_
_atom_site_label
_atom_site_fract_x
_atom_site_fract_y
_atom_site_fract_z
Cu1 0.0000 0.0000 0.0000
Ag1 0.5000 0.5000 0.5000
Ag2 0.7500 0.7500 0.7500
Pb1 0.2500 0.2500 0.2500
# **Spin magnetization**: 0.000 μB/cell
# **Energy of formation from the pure elements**: 186.7 meV per atom
# **Theoretical density**: 10.43 g/cm3



No. 2
# Ac5Ag4Rh PBE-GGA optimized geometry
data_Ac5Ag4Rh
_chemical_formula_sum 'Ac5 Ag4 Rh1'
_symmetry_space_group_name_H-M 'P 1'
_symmetry_Int_Tables_number 1
_cell_length_a 3.8727
_cell_length_b 3.8727
_cell_length_c 19.9239
_cell_angle_alpha 90.00
_cell_angle_beta 90.00
_cell_angle_gamma 90.00
loop_
_symmetry_equiv_pos_as_xyz
'x,y,z'
loop_
_atom_site_label
_atom_site_fract_x
_atom_site_fract_y
_atom_site_fract_z
Ac1 0.0000 0.0000 0.0000
Ac2 0.0000 0.0000 0.2047
Ac3 0.0000 0.0000 0.4119
Ac4 0.0000 0.0000 0.5881
Ac5 0.0000 0.0000 0.7953
Ag1 0.5000 0.5000 0.1024
Ag2 0.5000 0.5000 0.3043
Ag3 0.5000 0.5000 0.6957
Ag4 0.5000 0.5000 0.8976
Rh1 0.5000 0.5000 0.5000
# **Spin magnetization**: 0.000 μB/cell
# **Energy of formation from the pure elements**: -313.1 meV per atom
# **Theoretical density**: 9.28 g/cm3



No. 3
# BaP2Pb PBE-GGA optimized geometry
data_BaP2Pb
_chemical_formula_sum 'Ba1 P2 Pb1'
_symmetry_space_group_name_H-M 'P 1'
_symmetry_Int_Tables_number 1
_cell_length_a 6.2289
_cell_length_b 6.2289
_cell_length_c 6.2289
_cell_angle_alpha 147.10
_cell_angle_beta 126.87
_cell_angle_gamma 63.92
loop_
_symmetry_equiv_pos_as_xyz
'x,y,z'
loop_
_atom_site_label
_atom_site_fract_x
_atom_site_fract_y
_atom_site_fract_z
Ba1 0.0000 0.0000 0.0000
P1 0.2991 0.7991 0.5000
P2 0.4482 0.4482 0.0000
Pb1 0.7074 0.2074 0.5000
# **Spin magnetization**: 0.000 μB/cell
# **Energy of formation from the pure elements**: -210.9 meV per atom
# **Theoretical density**: 6.50 g/cm3



No. 4
# Ba2MgUS5 PBE-GGA optimized geometry
data_Ba2MgUS5
_chemical_formula_sum 'Ba4 Mg2 U2 S10'
_symmetry_space_group_name_H-M 'P 1'
_symmetry_Int_Tables_number 1
_cell_length_a 9.1833
_cell_length_b 9.1833
_cell_length_c 13.0689
_cell_angle_alpha 90.00
_cell_angle_beta 90.00
_cell_angle_gamma 153.56
loop_
_symmetry_equiv_pos_as_xyz
'x,y,z'
loop_
_atom_site_label
_atom_site_fract_x
_atom_site_fract_y
_atom_site_fract_z
Ba1 0.1066 0.8934 0.5000
Ba2 0.1277 0.8723 0.1277
Ba3 0.8723 0.1277 0.6277
Ba4 0.8934 0.1066 0.0000
Mg1 0.4487 0.5513 0.2627
Mg2 0.5513 0.4487 0.7627
U1 0.2085 0.7915 0.8336
U2 0.7915 0.2085 0.3336
S1 0.0576 0.9424 0.8609
S2 0.2859 0.7141 0.4682
S3 0.3093 0.6907 0.1978
S4 0.3555 0.6445 0.8179
S5 0.4978 0.5022 0.5955
S6 0.5022 0.4978 0.0955
S7 0.6445 0.3555 0.3179
S8 0.6907 0.3093 0.6978
S9 0.7141 0.2859 0.9682
S10 0.9424 0.0576 0.3609
# **Raw formation energy**: -15.49 eV per formula unit
# **Spin magnetization**: 4.000 μB/cell
# **Theoretical density**: 4.72 g/cm3



No. 5
# Li4Ir PBE-GGA optimized geometry
data_Li4Ir
_chemical_formula_sum 'Li4 Ir1'
_symmetry_space_group_name_H-M 'P 1'
_symmetry_Int_Tables_number 1
_cell_length_a 4.9933
_cell_length_b 4.9933
_cell_length_c 4.9933
_cell_angle_alpha 109.47
_cell_angle_beta 109.47
_cell_angle_gamma 109.47
loop_
_symmetry_equiv_pos_as_xyz
'x,y,z'
loop_
_atom_site_label
_atom_site_fract_x
_atom_site_fract_y
_atom_site_fract_z
Li1 0.0000 0.0000 0.5000
Li2 0.0000 0.5000 0.0000
Li3 0.5000 0.0000 0.0000
Li4 0.5000 0.5000 0.5000
Ir1 0.0000 0.0000 0.0000
# **Relative energy among the computed polymorphs**: 0.2433 eV/atom
# **Spin magnetization**: 0.000 μB/cell
# **Energy of formation from the pure elements**: 186.6 meV per atom
# **Theoretical density**: 3.81 g/cm3



No. 6
# CdGa2Tc PBE-GGA optimized geometry
data_CdGa2Tc
_chemical_formula_sum 'Cd1 Ga2 Tc1'
_symmetry_space_group_name_H-M 'P 1'
_symmetry_Int_Tables_number 1
_cell_length_a 9.1938
_cell_length_b 9.1938
_cell_length_c 9.1938
_cell_angle_alpha 18.73
_cell_angle_beta 18.73
_cell_angle_gamma 18.73
loop_
_symmetry_equiv_pos_as_xyz
'x,y,z'
loop_
_atom_site_label
_atom_site_fract_x
_atom_site_fract_y
_atom_site_fract_z
Cd1 0.0000 0.0000 0.0000
Ga1 0.2403 0.2403 0.2403
Ga2 0.4287 0.4287 0.4287
Tc1 0.8349 0.8349 0.8349
# **Spin magnetization**: 0.000 μB/cell
# **Energy of formation from the pure elements**: 69.5 meV per atom
# **Theoretical density**: 8.30 g/cm3



No. 7
# La6Pm5Th PBE-GGA optimized geometry
data_La6Pm5Th
_chemical_formula_sum 'La6 Pm5 Th1'
_symmetry_space_group_name_H-M 'P 1'
_symmetry_Int_Tables_number 1
_cell_length_a 9.7409
_cell_length_b 9.7409
_cell_length_c 10.4139
_cell_angle_alpha 122.20
_cell_angle_beta 122.20
_cell_angle_gamma 31.07
loop_
_symmetry_equiv_pos_as_xyz
'x,y,z'
loop_
_atom_site_label
_atom_site_fract_x
_atom_site_fract_y
_atom_site_fract_z
La1 0.0000 0.0000 0.2455
La2 0.0000 0.0000 0.7545
La3 0.3365 0.3365 0.0851
La4 0.3365 0.3365 0.5879
La5 0.6635 0.6635 0.4121
La6 0.6635 0.6635 0.9149
Pm1 0.1615 0.1615 0.1613
Pm2 0.1672 0.1672 0.6673
Pm3 0.5000 0.5000 0.5000
Pm4 0.8328 0.8328 0.3327
Pm5 0.8385 0.8385 0.8387
Th1 0.5000 0.5000 0.0000
# **Spin magnetization**: 0.000 μB/cell
# **Energy of formation from the pure elements**: 26.5 meV per atom
# **Theoretical density**: 7.00 g/cm3



No. 8
# V8P2S PBE-GGA optimized geometry
data_V8P2S
_chemical_formula_sum 'V8 P2 S1'
_symmetry_space_group_name_H-M 'P 1'
_symmetry_Int_Tables_number 1
_cell_length_a 7.1930
_cell_length_b 7.1930
_cell_length_c 5.1393
_cell_angle_alpha 102.37
_cell_angle_beta 102.37
_cell_angle_gamma 32.97
loop_
_symmetry_equiv_pos_as_xyz
'x,y,z'
loop_
_atom_site_label
_atom_site_fract_x
_atom_site_fract_y
_atom_site_fract_z
V1 0.0180 0.0180 0.2558
V2 0.2271 0.2271 0.3396
V3 0.3334 0.3334 0.9552
V4 0.4087 0.4087 0.5043
V5 0.5913 0.5913 0.4957
V6 0.6666 0.6666 0.0448
V7 0.7729 0.7729 0.6604
V8 0.9820 0.9820 0.7442
P1 0.1596 0.1596 0.7320
P2 0.8404 0.8404 0.2680
S1 0.5000 0.5000 0.0000
# **Raw formation energy**: -4.96 eV per formula unit
# **Spin magnetization**: 0.000 μB/cell
# **Theoretical density**: 5.90 g/cm3



No. 9
# Sr3GeP3 PBE-GGA optimized geometry
data_Sr3GeP3
_chemical_formula_sum 'Sr12 Ge4 P12'
_symmetry_space_group_name_H-M 'P 1'
_symmetry_Int_Tables_number 1
_cell_length_a 10.0019
_cell_length_b 10.0019
_cell_length_c 12.4958
_cell_angle_alpha 90.00
_cell_angle_beta 90.00
_cell_angle_gamma 37.69
loop_
_symmetry_equiv_pos_as_xyz
'x,y,z'
loop_
_atom_site_label
_atom_site_fract_x
_atom_site_fract_y
_atom_site_fract_z
Sr1 0.0043 0.6436 0.1324
Sr2 0.1436 0.5043 0.6324
Sr3 0.1783 0.8217 0.8519
Sr4 0.3217 0.6783 0.3519
Sr5 0.3564 0.9957 0.1324
Sr6 0.4957 0.8564 0.6324
Sr7 0.5043 0.1436 0.3676
Sr8 0.6436 0.0043 0.8676
Sr9 0.6783 0.3217 0.6481
Sr10 0.8217 0.1783 0.1481
Sr11 0.8564 0.4957 0.3676
Sr12 0.9957 0.3564 0.8676
Ge1 0.0864 0.0864 0.5000
Ge2 0.4136 0.4136 0.0000
Ge3 0.5864 0.5864 0.0000
Ge4 0.9136 0.9136 0.5000
P1 0.0401 0.6390 0.3806
P2 0.1390 0.5401 0.8806
P3 0.2126 0.7874 0.6069
P4 0.2874 0.7126 0.1069
P5 0.3610 0.9599 0.3806
P6 0.4599 0.8610 0.8806
P7 0.5401 0.1390 0.1194
P8 0.6390 0.0401 0.6194
P9 0.7126 0.2874 0.8931
P10 0.7874 0.2126 0.3931
P11 0.8610 0.4599 0.1194
P12 0.9599 0.3610 0.6194
# **Relative energy among the computed polymorphs**: 0.0000 eV/atom
# **Spin magnetization**: 0.000 μB/cell
# **Energy of formation from the pure elements**: -837.4 meV per atom
# **Theoretical density**: 3.72 g/cm3



No. 10
# Ga2Si2Ni7 PBE-GGA optimized geometry
data_Ga2Si2Ni7
_chemical_formula_sum 'Ga2 Si2 Ni7'
_symmetry_space_group_name_H-M 'P 1'
_symmetry_Int_Tables_number 1
_cell_length_a 3.7051
_cell_length_b 3.7051
_cell_length_c 11.2010
_cell_angle_alpha 90.00
_cell_angle_beta 90.00
_cell_angle_gamma 90.00
loop_
_symmetry_equiv_pos_as_xyz
'x,y,z'
loop_
_atom_site_label
_atom_site_fract_x
_atom_site_fract_y
_atom_site_fract_z
Ga1 0.0000 0.5000 0.1219
Ga2 0.5000 0.0000 0.8781
Si1 0.0000 0.5000 0.6228
Si2 0.5000 0.0000 0.3772
Ni1 0.0000 0.0000 0.2630
Ni2 0.0000 0.0000 0.5000
Ni3 0.0000 0.0000 0.7370
Ni4 0.5000 0.5000 0.0000
Ni5 0.5000 0.5000 0.2561
Ni6 0.5000 0.5000 0.5000
Ni7 0.5000 0.5000 0.7439
# **Raw formation energy**: -2.14 eV per formula unit
# **Spin magnetization**: 0.000 μB/cell
# **Theoretical density**: 6.55 g/cm3



Number 1: N(E_F) 0.4491 states/eV per atom. Number 2: N(E_F) 0.7801 states/eV per atom. Number 3: N(E_F) 0.7078 states/eV per atom. Number 4: N(E_F) 0.4704 states/eV per atom. Number 5: N(E_F) 0.2272 states/eV per atom. Number 6: N(E_F) 0.5613 states/eV per atom. Number 7: N(E_F) 1.7279 states/eV per atom. Number 8: N(E_F) 0.6919 states/eV per atom. Number 9: N(E_F) 0.2947 states/eV per atom. Number 10: N(E_F) 0.3487 states/eV per atom.